Entry from Alexandria: a geometry-optimized CdBAsP2 structure (GGA-PBE).

Lattice parameters (Å, degrees): 4.116 4.116 4.853 90.00 90.00 90.00
Space group P4/mmm (No. 123)
Inequivalent atoms, fractional coordinates:
Cd: 0.000 0.000 0.000 x1
B: 0.500 0.500 0.500 x1
As: 0.500 0.500 0.000 x1
P: 0.000 0.500 0.500 x2

Properties
Formation energy from the elements = 755 meV/atom
Crystal system = tetragonal